Compound: ZrScB
Source: the Alexandria database
Functional: PBE
Structure: relaxed

Output
Energy of formation: -308 meV/atom

a = 5.541 Å, b = 5.541 Å, c = 7.355 Å
α = 127.33°, β = 127.33°, γ = 35.95°
Sites, in units of the cell vectors:
Zr (0.000, 0.000, 0.000)
Zr (0.602, 0.602, 0.711)
Sc (0.242, 0.242, 0.543)
Sc (0.836, 0.836, 0.257)
B (0.321, 0.321, 0.986)
B (0.512, 0.512, 0.268)

Compound: La7DyTm3
Source: the Alexandria database
Functional: PBE
Structure: relaxed

Output
Energy of formation: 110 meV/atom

a = 7.071 Å, b = 11.395 Å, c = 10.307 Å
α = 90.00°, β = 109.77°, γ = 90.00°
Sites, in units of the cell vectors:
La (0.083, 0.020, 0.168)
La (0.083, 0.480, 0.168)
La (0.151, 0.750, 0.318)
La (0.203, 0.250, 0.405)
La (0.336, 0.750, 0.679)
La (0.408, 0.049, 0.818)
La (0.408, 0.451, 0.818)
La (0.592, 0.549, 0.182)
La (0.592, 0.951, 0.182)
La (0.664, 0.250, 0.321)
La (0.797, 0.750, 0.595)
La (0.849, 0.250, 0.682)
La (0.917, 0.520, 0.832)
La (0.917, 0.980, 0.832)
Dy (0.500, 0.000, 0.500)
Dy (0.500, 0.500, 0.500)
Tm (0.000, 0.000, 0.500)
Tm (0.000, 0.500, 0.500)
Tm (0.234, 0.750, 0.983)
Tm (0.257, 0.250, 0.022)
Tm (0.743, 0.750, 0.978)
Tm (0.766, 0.250, 0.017)

Compound: Np4S
Source: the Alexandria database
Functional: PBE
Structure: relaxed

Output
Electronic total energy: -10.6811 eV/atom

a = 5.086 Å, b = 5.086 Å, c = 5.086 Å
α = 90.00°, β = 90.00°, γ = 90.00°
Sites, in units of the cell vectors:
Np (0.000, 0.000, 0.000)
Np (0.000, 0.500, 0.500)
Np (0.500, 0.000, 0.500)
Np (0.500, 0.500, 0.000)
S (0.500, 0.500, 0.500)

Compound: Ca2YRe
Source: the Alexandria database
Functional: PBE
Structure: relaxed

Output
Energy of formation: 695 meV/atom

a = 3.155 Å, b = 3.155 Å, c = 10.911 Å
α = 90.00°, β = 90.00°, γ = 103.74°
Sites, in units of the cell vectors:
Ca (0.000, 0.000, 0.205)
Ca (0.000, 0.000, 0.795)
Y (0.500, 0.500, 0.500)
Re (0.500, 0.500, 0.000)

Compound: Sr2CoAuN
Source: the Alexandria database
Functional: PBE
Structure: relaxed

Output
Electronic total energy: -5.0164 eV/atom

a = 5.446 Å, b = 5.446 Å, c = 3.563 Å
α = 90.00°, β = 90.00°, γ = 90.00°
Sites, in units of the cell vectors:
Sr (0.000, 0.500, 0.000)
Sr (0.500, 0.000, 0.000)
Co (0.000, 0.000, 0.500)
Au (0.500, 0.500, 0.500)
N (0.000, 0.000, 0.000)

Compound: Y6ZnRh2
Source: the Alexandria database
Functional: PBE
Structure: relaxed

Output
Energy of formation: -512 meV/atom

a = 8.440 Å, b = 8.440 Å, c = 8.440 Å
α = 112.46°, β = 111.22°, γ = 104.84°
Sites, in units of the cell vectors:
Y (0.048, 0.241, 0.807)
Y (0.178, 0.280, 0.457)
Y (0.178, 0.720, 0.898)
Y (0.329, 0.022, 0.694)
Y (0.329, 0.635, 0.306)
Y (0.433, 0.241, 0.193)
Y (0.567, 0.759, 0.807)
Y (0.671, 0.365, 0.694)
Y (0.671, 0.978, 0.306)
Y (0.822, 0.280, 0.102)
Y (0.822, 0.720, 0.543)
Y (0.952, 0.759, 0.193)
Zn (0.000, 0.000, 0.000)
Zn (0.500, 0.500, 0.000)
Rh (0.131, 0.631, 0.500)
Rh (0.331, 0.000, 0.331)
Rh (0.669, 0.000, 0.669)
Rh (0.869, 0.369, 0.500)

Compound: TlNiMo2Ir
Source: the Alexandria database
Functional: PBE
Structure: relaxed

Output
Energy of formation: 1317 meV/atom

a = 4.770 Å, b = 4.770 Å, c = 4.668 Å
α = 90.00°, β = 90.00°, γ = 90.00°
Sites, in units of the cell vectors:
Tl (0.000, 0.000, 0.000)
Ni (0.500, 0.500, 0.000)
Mo (0.000, 0.500, 0.500)
Mo (0.500, 0.000, 0.500)
Ir (0.500, 0.500, 0.500)

Compound: NaLaPr
Source: the Alexandria database
Functional: PBE
Structure: relaxed

Output
Energy of formation: 122 meV/atom

a = 10.869 Å, b = 10.869 Å, c = 5.842 Å
α = 90.00°, β = 90.00°, γ = 160.79°
Sites, in units of the cell vectors:
Na (0.208, 0.792, 0.750)
Na (0.792, 0.208, 0.250)
La (0.387, 0.613, 0.750)
La (0.613, 0.387, 0.250)
Pr (0.039, 0.961, 0.750)
Pr (0.961, 0.039, 0.250)

Compound: CrTePdSe
Source: the Alexandria database
Functional: PBE
Structure: relaxed

Output
Electronic total energy: -5.6163 eV/atom

a = 4.120 Å, b = 4.120 Å, c = 6.901 Å
α = 90.00°, β = 90.00°, γ = 120.00°
Sites, in units of the cell vectors:
Cr (0.000, 0.000, 0.000)
Te (0.000, 0.000, 0.396)
Pd (0.333, 0.667, 0.240)
Se (0.333, 0.667, 0.877)

Compound: HgTeMo2
Source: the Alexandria database
Functional: PBE
Structure: relaxed

Output
Electronic total energy: -5.5034 eV/atom

a = 5.270 Å, b = 5.270 Å, c = 5.270 Å
α = 133.79°, β = 133.79°, γ = 67.41°
Sites, in units of the cell vectors:
Hg (0.000, 0.000, 0.000)
Te (0.750, 0.250, 0.500)
Mo (0.250, 0.750, 0.500)
Mo (0.500, 0.500, 0.000)

Compound: SrReS2
Source: the Alexandria database
Functional: PBE
Structure: relaxed

Output
Electronic total energy: -5.6770 eV/atom

a = 4.662 Å, b = 4.662 Å, c = 4.662 Å
α = 60.00°, β = 60.00°, γ = 60.00°
Sites, in units of the cell vectors:
Sr (0.000, 0.000, 0.000)
Re (0.500, 0.500, 0.500)
S (0.250, 0.250, 0.250)
S (0.750, 0.750, 0.750)

Compound: TiNb3Mo
Source: the Alexandria database
Functional: PBE
Structure: relaxed

Output
Energy of formation: 1214 meV/atom

a = 4.810 Å, b = 4.810 Å, c = 4.810 Å
α = 90.00°, β = 90.00°, γ = 90.00°
Sites, in units of the cell vectors:
Ti (0.000, 0.000, 0.000)
Nb (0.000, 0.500, 0.500)
Nb (0.500, 0.000, 0.500)
Nb (0.500, 0.500, 0.000)
Mo (0.500, 0.500, 0.500)

Compound: NaBi3Pd3
Source: the Alexandria database
Functional: PBE
Structure: relaxed

Output
Energy of formation: -228 meV/atom

a = 7.351 Å, b = 7.351 Å, c = 7.351 Å
α = 69.85°, β = 69.85°, γ = 69.85°
Sites, in units of the cell vectors:
Na (0.161, 0.161, 0.161)
Na (0.839, 0.839, 0.839)
Bi (0.130, 0.687, 0.396)
Bi (0.313, 0.604, 0.870)
Bi (0.396, 0.130, 0.687)
Bi (0.604, 0.870, 0.313)
Bi (0.687, 0.396, 0.130)
Bi (0.870, 0.313, 0.604)
Pd (0.045, 0.440, 0.810)
Pd (0.190, 0.955, 0.560)
Pd (0.440, 0.810, 0.045)
Pd (0.560, 0.190, 0.955)
Pd (0.810, 0.045, 0.440)
Pd (0.955, 0.560, 0.190)

Compound: SbH
Source: the Alexandria database
Functional: PBE
Structure: relaxed

Output
Electronic total energy: -3.5182 eV/atom

a = 4.674 Å, b = 4.674 Å, c = 6.279 Å
α = 96.91°, β = 96.91°, γ = 38.63°
Sites, in units of the cell vectors:
Sb (0.001, 0.001, 0.250)
Sb (0.999, 0.999, 0.750)
H (0.198, 0.198, 0.785)
H (0.802, 0.802, 0.215)

Compound: Sc2Zn16Cd
Source: the Alexandria database
Functional: PBE
Structure: relaxed

Output
Energy of formation: -156 meV/atom

a = 6.762 Å, b = 6.762 Å, c = 6.762 Å
α = 82.67°, β = 82.67°, γ = 82.67°
Sites, in units of the cell vectors:
Sc (0.000, 0.000, 0.000)
Sc (0.324, 0.324, 0.324)
Zn (0.018, 0.018, 0.499)
Zn (0.018, 0.499, 0.018)
Zn (0.157, 0.668, 0.668)
Zn (0.308, 0.308, 0.832)
Zn (0.308, 0.832, 0.308)
Zn (0.358, 0.664, 0.971)
Zn (0.358, 0.971, 0.664)
Zn (0.499, 0.018, 0.018)
Zn (0.664, 0.358, 0.971)
Zn (0.664, 0.971, 0.358)
Zn (0.668, 0.157, 0.668)
Zn (0.668, 0.668, 0.157)
Zn (0.774, 0.774, 0.774)
Zn (0.832, 0.308, 0.308)
Zn (0.971, 0.358, 0.664)
Zn (0.971, 0.664, 0.358)
Cd (0.564, 0.564, 0.564)

Compound: Li2TlI2Br
Source: the Alexandria database
Functional: PBE
Structure: relaxed

Output
Electronic total energy: -2.9234 eV/atom

a = 7.895 Å, b = 6.227 Å, c = 9.629 Å
α = 90.00°, β = 106.18°, γ = 90.00°
Sites, in units of the cell vectors:
Li (0.133, 0.000, 0.157)
Li (0.133, 0.500, 0.157)
Li (0.867, 0.000, 0.843)
Li (0.867, 0.500, 0.843)
Tl (0.324, 0.250, 0.581)
Tl (0.676, 0.750, 0.419)
I (0.108, 0.750, 0.385)
I (0.429, 0.250, 0.255)
I (0.571, 0.750, 0.745)
I (0.892, 0.250, 0.615)
Br (0.127, 0.750, 0.947)
Br (0.873, 0.250, 0.053)

Compound: Al2TlCl
Source: the Alexandria database
Functional: PBE
Structure: relaxed

Output
Electronic total energy: -2.9411 eV/atom

a = 6.078 Å, b = 6.078 Å, c = 6.078 Å
α = 149.37°, β = 121.74°, γ = 67.26°
Sites, in units of the cell vectors:
Al (0.000, 0.000, 0.000)
Al (0.782, 0.282, 0.500)
Tl (0.504, 0.504, 0.000)
Cl (0.185, 0.685, 0.500)

Compound: BaPtW2
Source: the Alexandria database
Functional: PBE
Structure: relaxed

Output
Energy of formation: 989 meV/atom

a = 9.871 Å, b = 9.871 Å, c = 9.871 Å
α = 150.92°, β = 150.92°, γ = 41.60°
Sites, in units of the cell vectors:
Ba (0.375, 0.625, 0.750)
Ba (0.625, 0.375, 0.250)
Pt (0.125, 0.875, 0.250)
Pt (0.875, 0.125, 0.750)
W (0.000, 0.000, 0.000)
W (0.000, 0.000, 0.500)
W (0.000, 0.500, 0.000)
W (0.500, 0.000, 0.500)

Compound: LaCo4Te
Source: the Alexandria database
Functional: PBE
Structure: relaxed

Output
Electronic total energy: -6.0147 eV/atom

a = 5.159 Å, b = 5.159 Å, c = 5.159 Å
α = 60.00°, β = 60.00°, γ = 60.00°
Sites, in units of the cell vectors:
La (0.000, 0.000, 0.000)
Co (0.375, 0.375, 0.375)
Co (0.375, 0.375, 0.875)
Co (0.375, 0.875, 0.375)
Co (0.875, 0.375, 0.375)
Te (0.750, 0.750, 0.750)

Compound: Y5Ho2Er4
Source: the Alexandria database
Functional: PBE
Structure: relaxed

Output
Energy of formation: 67 meV/atom

a = 11.769 Å, b = 11.769 Å, c = 8.820 Å
α = 109.54°, β = 109.54°, γ = 17.80°
Sites, in units of the cell vectors:
Y (0.000, 0.000, 0.000)
Y (0.362, 0.362, 0.739)
Y (0.417, 0.417, 0.242)
Y (0.583, 0.583, 0.758)
Y (0.638, 0.638, 0.261)
Ho (0.050, 0.050, 0.411)
Ho (0.950, 0.950, 0.589)
Er (0.196, 0.196, 0.025)
Er (0.203, 0.203, 0.635)
Er (0.797, 0.797, 0.365)
Er (0.804, 0.804, 0.975)

Compound: PrCd3In3
Source: the Alexandria database
Functional: PBE
Structure: relaxed

Output
Energy of formation: 346 meV/atom

a = 7.805 Å, b = 7.805 Å, c = 7.805 Å
α = 90.00°, β = 90.00°, γ = 90.00°
Sites, in units of the cell vectors:
Pr (0.000, 0.000, 0.000)
Pr (0.500, 0.500, 0.500)
Cd (0.000, 0.250, 0.500)
Cd (0.000, 0.750, 0.500)
Cd (0.250, 0.500, 0.000)
Cd (0.500, 0.000, 0.250)
Cd (0.500, 0.000, 0.750)
Cd (0.750, 0.500, 0.000)
In (0.000, 0.500, 0.250)
In (0.000, 0.500, 0.750)
In (0.250, 0.000, 0.500)
In (0.500, 0.250, 0.000)
In (0.500, 0.750, 0.000)
In (0.750, 0.000, 0.500)

Compound: Li4CaAg8
Source: the Alexandria database
Functional: PBE
Structure: relaxed

Output
Energy of formation: -175 meV/atom

a = 7.188 Å, b = 7.188 Å, c = 7.188 Å
α = 97.54°, β = 97.54°, γ = 137.51°
Sites, in units of the cell vectors:
Li (0.000, 0.000, 0.500)
Li (0.000, 0.500, 0.000)
Li (0.500, 0.000, 0.000)
Li (0.500, 0.500, 0.500)
Ca (0.000, 0.000, 0.000)
Ag (0.000, 0.351, 0.351)
Ag (0.000, 0.649, 0.649)
Ag (0.281, 0.500, 0.781)
Ag (0.351, 0.000, 0.351)
Ag (0.500, 0.281, 0.781)
Ag (0.500, 0.719, 0.219)
Ag (0.649, 0.000, 0.649)
Ag (0.719, 0.500, 0.219)

Compound: SrTiGe
Source: the Alexandria database
Functional: PBE
Structure: relaxed

Output
Energy of formation: -100 meV/atom

a = 3.647 Å, b = 3.647 Å, c = 11.249 Å
α = 90.00°, β = 90.00°, γ = 90.00°
Sites, in units of the cell vectors:
Sr (0.000, 0.000, 0.178)
Sr (0.000, 0.000, 0.822)
Ti (0.500, 0.500, 0.407)
Ti (0.500, 0.500, 0.593)
Ge (0.000, 0.000, 0.500)
Ge (0.500, 0.500, 0.000)